(1)
Material: AlInMo
Method: DFT, PBE
State: optimized geometry

SG: No. 42
Magnetic moment in μB/cell: 0.000
Energy above the lowest structure with this stoichiometry in meV/atom: 69
ΔE_f in meV/atom: 268

Cell: 6.9555 6.9434 2.8696 Å, 78.32 77.85 23.83°
Element x y z (fractional)
Mo1 0.6568 0.6568 0.3432
Al1 0.0164 0.0164 0.9836
In1 0.3268 0.3268 0.6732

---

(2)
Material: RuBrF2
Method: DFT, PBE
State: optimized geometry

Formation energy without anion corrections in eV/f.u.: -0.14
SG: No. 225
Magnetic moment in μB/cell: 4.643
Energy above the lowest structure with this stoichiometry in meV/atom: 989

Cell: 4.3492 4.3492 4.3492 Å, 60.00 60.00 60.00°
Last column: magnetic moment on the atom in μB.
Element x y z (fractional)
Ru1 0.5000 0.5000 0.5000  3.42
Br1 0.0000 0.0000 0.0000  0.46
F1 0.2500 0.2500 0.2500  0.24
F2 0.7500 0.7500 0.7500  0.24

---

(3)
Material: Na2Ga4Pt3Au
Method: DFT, PBE
State: optimized geometry

SG: No. 115
Magnetic moment in μB/cell: 0.000
ΔE_f in meV/atom: -515

Cell: 4.2902 4.2902 10.5531 Å, 90.00 90.00 90.00°
Element x y z (fractional)
Na1 0.5000 0.0000 0.2512
Na2 0.0000 0.5000 0.7488
Ga1 0.5000 0.5000 0.0000
Ga2 0.0000 0.0000 0.0000
Ga3 0.5000 0.0000 0.6363
Ga4 0.0000 0.5000 0.3637
Pt1 0.0000 0.0000 0.5000
Pt2 0.5000 0.0000 0.8702
Pt3 0.0000 0.5000 0.1298
Au1 0.5000 0.5000 0.5000

---

(4)
Material: NaSeS6
Method: DFT, PBE
State: optimized geometry

Formation energy without anion corrections in eV/f.u.: -0.64
SG: No. 2
Magnetic moment in μB/cell: 0.000

Cell: 7.0518 11.3756 5.8221 Å, 89.85 93.80 30.01°
Element x y z (fractional)
Na1 0.5000 0.5000 0.5000
Se1 0.0000 0.0000 0.0000
S1 0.0982 0.0142 0.6123
S2 0.2834 0.4360 0.8771
S3 0.9955 0.3729 0.8728
S4 0.7166 0.5640 0.1229
S5 0.9018 0.9858 0.3877
S6 0.0045 0.6271 0.1272

---

(5)
Material: AcTiSn3
Method: DFT, PBE
State: optimized geometry

SG: No. 194
Magnetic moment in μB/cell: 0.000
Energy above the lowest structure with this stoichiometry in meV/atom: 0
ΔE_f in meV/atom: -522

Cell: 6.2850 7.0144 7.0144 Å, 120.00 90.00 90.00°
Element x y z (fractional)
Ac1 0.7500 0.3333 0.6667
Ac2 0.2500 0.6667 0.3333
Ti1 0.5000 0.0000 0.0000
Ti2 0.0000 0.0000 0.0000
Sn1 0.7500 0.8091 0.6181
Sn2 0.2500 0.1909 0.8091
Sn3 0.7500 0.3819 0.1909
Sn4 0.2500 0.6181 0.8091
Sn5 0.2500 0.1909 0.3819
Sn6 0.7500 0.8091 0.1909

---

(6)
Material: Nb5Ir4Pt2
Method: DFT, PBE
State: optimized geometry

SG: No. 55
Magnetic moment in μB/cell: 0.000
ΔE_f in meV/atom: -406

Cell: 3.8385 6.3310 15.1707 Å, 90.00 90.00 90.00°
Element x y z (fractional)
Nb1 0.0000 0.5000 0.0000
Nb2 0.0000 0.0000 0.5000
Nb3 0.0000 0.3062 0.1863
Nb4 0.0000 0.6938 0.8137
Nb5 0.0000 0.8062 0.3137
Nb6 0.0000 0.1938 0.6863
Nb7 0.0000 0.3883 0.4135
Nb8 0.0000 0.6117 0.5865
Nb9 0.0000 0.8883 0.0865
Nb10 0.0000 0.1117 0.9135
Ir1 0.5000 0.3030 0.5464
Ir2 0.5000 0.6970 0.4536
Ir3 0.5000 0.8030 0.9536
Ir4 0.5000 0.1970 0.0464
Ir5 0.5000 0.4000 0.8737
Ir6 0.5000 0.6000 0.1263
Ir7 0.5000 0.9000 0.6263
Ir8 0.5000 0.1000 0.3737
Pt1 0.5000 0.4944 0.2934
Pt2 0.5000 0.5056 0.7066
Pt3 0.5000 0.9944 0.2066
Pt4 0.5000 0.0056 0.7934

---

(7)
Material: HIrSe3
Method: DFT, PBE
State: optimized geometry

SG: No. 2
Magnetic moment in μB/cell: 0.000
Energy above the lowest structure with this stoichiometry in meV/atom: 48

Cell: 4.7762 6.3487 6.8434 Å, 73.57 78.56 73.92°
Element x y z (fractional)
H1 0.3412 0.5706 0.0771
H2 0.6588 0.4294 0.9229
Ir1 0.3693 0.3003 0.0521
Ir2 0.6307 0.6997 0.9479
Se1 0.4150 0.7976 0.6164
Se2 0.5850 0.2024 0.3836
Se3 0.8889 0.4852 0.2566
Se4 0.1111 0.5148 0.7434
Se5 0.8098 0.0497 0.8737
Se6 0.1902 0.9503 0.1263

---

(8)
Material: CsSF4
Method: DFT, PBE
State: optimized geometry

Formation energy without anion corrections in eV/f.u.: -10.87
SG: No. 119
Magnetic moment in μB/cell: 1.000

Cell: 6.4639 6.4639 6.1482 Å, 121.71 121.71 90.00°
Last column: magnetic moment on the atom in μB.
Element x y z (fractional)
Cs1 0.7500 0.2500 0.5000  0.00
S1 0.5000 0.5000 0.0000  0.44
F1 0.3025 0.6980 0.9997  0.07
F2 0.6972 0.3018 0.9997  0.07
F3 0.3020 0.3028 0.0003  0.07
F4 0.6982 0.6975 0.0003  0.07

---

(9)
Material: V2FeBAs
Method: DFT, PBE
State: optimized geometry

SG: No. 123
Magnetic moment in μB/cell: 0.002
ΔE_f in meV/atom: 1317

Cell: 4.6289 3.7560 4.6289 Å, 90.00 90.00 90.00°
Last column: magnetic moment on the atom in μB.
Element x y z (fractional)
As1 0.0000 0.0000 0.0000  0.04
B1 0.0000 0.5000 0.0000  0.07
Fe1 0.5000 0.5000 0.5000  3.10
V1 0.0000 0.0000 0.5000  -1.52
V2 0.5000 0.0000 0.0000  -1.39

---

(10)
Material: CaLaTe2
Method: DFT, PBE
State: optimized geometry

Formation energy without anion corrections in eV/f.u.: -6.38
SG: No. 123
Magnetic moment in μB/cell: 0.000
Energy above the lowest structure with this stoichiometry in meV/atom: 0

Cell: 4.5498 4.5494 6.4585 Å, 90.00 90.00 90.00°
Element x y z (fractional)
Ca1 0.0000 0.0000 0.3752
Te1 0.0000 0.0000 0.8751
Te2 0.5000 0.5000 0.3748
La1 0.5000 0.5000 0.8749

---

(11)
Material: CaGa3Pt2
Method: DFT, PBE
State: optimized geometry

SG: No. 166
Magnetic moment in μB/cell: 0.000
ΔE_f in meV/atom: -610

Cell: 8.8383 8.8383 6.2532 Å, 45.03 45.03 60.00°
Element x y z (fractional)
Ca1 0.7507 0.7507 0.7479
Ca2 0.2493 0.2493 0.2521
Ga1 0.2511 0.7502 0.2484
Ga2 0.7502 0.2511 0.2484
Ga3 0.7502 0.7502 0.2484
Ga4 0.2498 0.7489 0.7516
Ga5 0.7489 0.2498 0.7516
Ga6 0.2498 0.2498 0.7516
Pt1 0.0000 0.0000 0.0000
Pt2 0.0000 0.5000 0.0000
Pt3 0.5000 0.5000 0.0000
Pt4 0.5000 0.0000 0.0000

---

(12)
Material: SnSb4Ir
Method: DFT, PBE
State: optimized geometry

Formation energy without anion corrections in eV/f.u.: -0.23
SG: No. 2
Magnetic moment in μB/cell: 0.000

Cell: 6.7096 6.6444 8.5834 Å, 112.94 111.42 90.10°
Element x y z (fractional)
Sn1 0.7507 0.1899 0.0018
Sn2 0.2493 0.8101 0.9982
Sb1 0.0484 0.2924 0.8313
Sb2 0.4527 0.4631 0.1700
Sb3 0.9516 0.7076 0.1687
Sb4 0.5473 0.5369 0.8300
Sb5 0.9045 0.6810 0.5908
Sb6 0.5958 0.0899 0.4095
Sb7 0.0955 0.3190 0.4092
Sb8 0.4042 0.9101 0.5905
Ir1 0.0000 0.0000 0.5000
Ir2 0.5000 0.5000 0.5000

---

(13)
Material: Pr3Y6Er2
Method: DFT, PBE
State: optimized geometry

SG: No. 166
Magnetic moment in μB/cell: 0.000
ΔE_f in meV/atom: 104

Cell: 5.7166 5.7166 13.3762 Å, 77.66 77.66 60.00°
Element x y z (fractional)
Pr1 0.0000 0.0000 0.0000
Pr2 0.2809 0.2809 0.1573
Pr3 0.7191 0.7191 0.8427
Y1 0.0929 0.0929 0.7213
Y2 0.9071 0.9071 0.2787
Y3 0.1856 0.1856 0.4433
Y4 0.8144 0.8144 0.5567
Y5 0.3738 0.3738 0.8785
Y6 0.6262 0.6262 0.1215
Er1 0.4594 0.4594 0.6219
Er2 0.5406 0.5406 0.3781

---

(14)
Material: BeOs
Method: DFT, PBE
State: optimized geometry

SG: No. 194
Magnetic moment in μB/cell: 0.000
ΔE_f in meV/atom: 8

Cell: 2.6947 2.6947 7.5043 Å, 90.00 90.00 120.00°
Element x y z (fractional)
Be1 0.3333 0.6667 0.2500
Be2 0.6667 0.3333 0.7500
Os1 0.0000 0.0000 0.0000
Os2 0.0000 0.0000 0.5000

---

(15)
Material: RbTiTlBr6
Method: DFT, PBE
State: optimized geometry

Formation energy without anion corrections in eV/f.u.: -10.78
SG: No. 5
Magnetic moment in μB/cell: 0.000

Cell: 7.9600 7.9599 6.5088 Å, 90.00 90.00 59.83°
Element x y z (fractional)
Rb1 0.6661 0.6661 0.5000
Ti1 0.3333 0.3333 0.5000
Tl1 0.9998 0.9998 0.0000
Br1 0.0793 0.3247 0.2714
Br2 0.3247 0.0794 0.7286
Br3 0.5962 0.3249 0.7286
Br4 0.0777 0.5979 0.7272
Br5 0.3249 0.5962 0.2714
Br6 0.5978 0.0778 0.2728

---

(16)
Material: NdTh4Sc5
Method: DFT, PBE
State: optimized geometry

SG: No. 123
Magnetic moment in μB/cell: 0.000
ΔE_f in meV/atom: 30

Cell: 3.4752 3.4752 23.7443 Å, 90.00 90.00 90.00°
Element x y z (fractional)
Nd1 0.0000 0.0000 0.0000
Th1 0.0000 0.0000 0.2017
Th2 0.0000 0.0000 0.4006
Th3 0.0000 0.0000 0.5994
Th4 0.0000 0.0000 0.7983
Sc1 0.5000 0.5000 0.1040
Sc2 0.5000 0.5000 0.3012
Sc3 0.5000 0.5000 0.5000
Sc4 0.5000 0.5000 0.6988
Sc5 0.5000 0.5000 0.8960

---

(17)
Material: Zn2NiAgH
Method: DFT, PBE
State: optimized geometry

SG: No. 123
Magnetic moment in μB/cell: 0.000
Energy above the lowest structure with this stoichiometry in meV/atom: 0

Cell: 4.3844 4.3844 3.1457 Å, 90.00 90.00 90.00°
Element x y z (fractional)
Ni1 0.0000 0.0000 0.5000
Zn1 0.0000 0.5000 0.0000
Zn2 0.5000 0.0000 0.0000
Ag1 0.5000 0.5000 0.5000
H1 0.0000 0.0000 0.0000

---

(18)
Material: PrEuBi
Method: DFT, PBE
State: optimized geometry

SG: No. 107
Magnetic moment in μB/cell: 8.842
ΔE_f in meV/atom: -555

Cell: 4.2951 4.2951 6.2302 Å, 110.16 110.16 90.00°
Last column: magnetic moment on the atom in μB.
Element x y z (fractional)
Eu1 0.9615 0.9615 0.9230  7.11
Pr1 0.2668 0.2668 0.5336  0.50
Bi1 0.6217 0.6217 0.2434  -0.07

---

(19)
Material: Cs3Sn4Hg2
Method: DFT, PBE
State: optimized geometry

SG: No. 2
Magnetic moment in μB/cell: 0.000
ΔE_f in meV/atom: -136

Cell: 5.4063 7.6462 10.4814 Å, 70.51 70.11 67.58°
Element x y z (fractional)
Cs1 0.6109 0.1185 0.6450
Cs2 0.0000 0.0000 0.0000
Cs3 0.3891 0.8815 0.3550
Sn1 0.2717 0.3857 0.0473
Sn2 0.8852 0.5307 0.6514
Sn3 0.1148 0.4693 0.3486
Sn4 0.7283 0.6143 0.9527
Hg1 0.7133 0.3686 0.2589
Hg2 0.2867 0.6314 0.7411

---

(20)
Material: MgNpS2
Method: DFT, PBE
State: optimized geometry

Formation energy without anion corrections in eV/f.u.: -3.71
SG: No. 166
Magnetic moment in μB/cell: 4.010
Energy above the lowest structure with this stoichiometry in meV/atom: 214

Cell: 3.9622 3.9622 8.3219 Å, 76.23 76.23 60.00°
Last column: magnetic moment on the atom in μB.
Element x y z (fractional)
Np1 0.5000 0.5000 0.5000  3.81
S1 0.1043 0.1043 0.6872  -0.09
S2 0.8957 0.8957 0.3128  -0.09
Mg1 0.0000 0.0000 0.0000  0.01

---

Number 1: volume 55 Å³ per cell, final energy -5.50 eV per atom. Number 2: volume 58 Å³ per cell, final energy -3.71 eV per atom. Number 3: volume 194 Å³ per cell, final energy -4.13 eV per atom. Number 4: volume 231 Å³ per cell, final energy -3.78 eV per atom. Number 5: volume 268 Å³ per cell, final energy -5.32 eV per atom. Number 6: volume 369 Å³ per cell, final energy -9.30 eV per atom. Number 7: volume 190 Å³ per cell, final energy -4.62 eV per atom. Number 8: volume 172 Å³ per cell, final energy -3.89 eV per atom. Number 9: volume 80 Å³ per cell, final energy -6.29 eV per atom. Number 10: volume 134 Å³ per cell, final energy -4.90 eV per atom. Number 11: volume 245 Å³ per cell, final energy -4.47 eV per atom. Number 12: volume 323 Å³ per cell, final energy -4.93 eV per atom. Number 13: volume 367 Å³ per cell, final energy -5.56 eV per atom. Number 14: volume 47 Å³ per cell, final energy -7.47 eV per atom. Number 15: volume 357 Å³ per cell, final energy -3.56 eV per atom. Number 16: volume 287 Å³ per cell, final energy -6.58 eV per atom. Number 17: volume 60 Å³ per cell, final energy -2.90 eV per atom. Number 18: volume 100 Å³ per cell, final energy -6.87 eV per atom. Number 19: volume 366 Å³ per cell, final energy -2.27 eV per atom. Number 20: volume 109 Å³ per cell, final energy -6.63 eV per atom.